The following is a DFT calculation (PBE) of a relaxed structure of NdMgNO.

```
NdMgNO
1.0
3.9216 0.0000 0.0000
0.0000 6.0956 0.0000
0.0000 0.0000 5.2747
Nd Mg N O
2 2 2 2
direct
0.0000 0.1991 0.0000
0.0000 0.8009 0.5000
0.5000 0.3224 0.5191
0.5000 0.6776 0.0191
0.0000 0.1848 0.4630
0.0000 0.8152 0.9630
0.5000 0.3680 0.8973
0.5000 0.6320 0.3973
```

Values from the calculation:
VASP energy: -6.797 eV/atom

The following is a DFT calculation (PBE) of a relaxed structure of NdMgNO.

```
NdMgNO
1.0
3.8357 0.0000 0.0000
0.0000 3.8357 0.0000
0.0000 0.0000 8.0011
Nd Mg N O
2 2 2 2
direct
0.2500 0.2500 0.1569
0.7500 0.7500 0.8431
0.2500 0.7500 0.5000
0.7500 0.2500 0.5000
0.2500 0.2500 0.6178
0.7500 0.7500 0.3822
0.2500 0.7500 0.0000
0.7500 0.2500 0.0000
```

Values from the calculation:
VASP energy: -6.619 eV/atom

The following is a DFT calculation (PBE) of a relaxed structure of NdMgNO.

```
NdMgNO
1.0
6.2633 0.0000 0.0000
0.0000 7.0766 0.0000
0.0000 0.0000 5.8050
Nd Mg N O
4 4 4 4
direct
0.0646 0.1614 0.0000
0.4354 0.1614 0.5000
0.5646 0.8386 0.0000
0.9354 0.8386 0.5000
0.0869 0.6068 0.0162
0.4131 0.6068 0.5162
0.5869 0.3932 0.0162
0.9131 0.3932 0.5162
0.1088 0.6039 0.6609
0.3912 0.6039 0.1609
0.6088 0.3961 0.6609
0.8912 0.3961 0.1609
0.0736 0.1363 0.5948
0.4264 0.1363 0.0948
0.5736 0.8637 0.5948
0.9264 0.8637 0.0948
```

Values from the calculation:
VASP energy: -6.634 eV/atom

The following is a DFT calculation (PBE) of a relaxed structure of NdMgNO.

```
NdMgNO
1.0
4.9373 0.0000 0.0000
0.0000 4.9373 0.0000
0.0000 0.0000 4.6755
Nd Mg N O
2 2 2 2
direct
0.2500 0.7500 0.0000
0.7500 0.2500 0.0000
0.2500 0.2500 0.4956
0.7500 0.7500 0.5044
0.2500 0.2500 0.0081
0.7500 0.7500 0.9919
0.2500 0.7500 0.5000
0.7500 0.2500 0.5000
```

Values from the calculation:
VASP energy: -6.665 eV/atom

The following is a DFT calculation (PBE) of a relaxed structure of NdMgNO.

```
NdMgNO
1.0
5.8678 0.0000 0.0000
0.0000 7.8197 0.0000
0.0000 0.0000 5.2696
Nd Mg N O
4 4 4 4
direct
0.0435 0.1498 0.0000
0.4565 0.1498 0.5000
0.5435 0.8502 0.0000
0.9565 0.8502 0.5000
0.0728 0.6053 0.9819
0.4272 0.6053 0.4819
0.5728 0.3947 0.9819
0.9272 0.3947 0.4819
0.0544 0.1464 0.5293
0.4456 0.1464 0.0293
0.5544 0.8536 0.5293
0.9456 0.8536 0.0293
0.1124 0.5837 0.6099
0.3876 0.5837 0.1099
0.6124 0.4163 0.6099
0.8876 0.4163 0.1099
```

Values from the calculation:
VASP energy: -6.848 eV/atom

The following is a DFT calculation (PBE) of a relaxed structure of NdMgNO.

```
NdMgNO
1.0
3.4621 0.0000 0.0000
0.0000 5.6855 0.0000
0.0000 0.0000 5.9061
Nd Mg N O
2 2 2 2
direct
0.0000 0.1982 0.0000
0.0000 0.8018 0.5000
0.5000 0.2534 0.5231
0.5000 0.7466 0.0231
0.5000 0.0403 0.2421
0.5000 0.9597 0.7421
0.0000 0.4047 0.6061
0.0000 0.5953 0.1061
```

Values from the calculation:
VASP energy: -6.766 eV/atom

The following is a DFT calculation (PBE) of a relaxed structure of MgZnNi2N4.

```
MgZnNi2N4
1.0
-2.2326 2.2326 4.4568
2.2326 -2.2326 4.4568
2.2326 2.2326 -4.4568
Mg Zn Ni N
1 1 2 4
direct
0.0000 0.0000 0.0000
0.7500 0.2500 0.5000
0.2500 0.7500 0.5000
0.5000 0.5000 0.0000
0.1627 0.6162 0.0346
0.3838 0.4185 0.5465
0.5815 0.1281 0.9654
0.8719 0.8373 0.4535
```

Values from the calculation:
VASP energy: -5.590 eV/atom

The following is a DFT calculation (PBE) of a relaxed structure of MgOsNO.

```
MgOsNO
1.0
3.3028 0.0000 0.0000
0.0000 5.7997 0.0000
0.0000 0.0000 5.2610
Mg Os N O
2 2 2 2
direct
0.0000 0.2147 0.0000
0.0000 0.7853 0.5000
0.5000 0.2693 0.4854
0.5000 0.7307 0.9854
0.0000 0.1377 0.4128
0.0000 0.8623 0.9128
0.5000 0.3796 0.8799
0.5000 0.6204 0.3799
```

Values from the calculation:
VASP energy: -6.928 eV/atom

The following is a DFT calculation (PBE) of a relaxed structure of MgOsNO.

```
MgOsNO
1.0
5.2422 0.0000 0.0000
0.0000 6.9916 0.0000
0.0000 0.0000 4.9653
Mg Os N O
4 4 4 4
direct
0.1083 0.1097 0.0000
0.3917 0.1097 0.5000
0.6083 0.8903 0.0000
0.8917 0.8903 0.5000
0.0867 0.5662 0.0452
0.4133 0.5662 0.5452
0.5867 0.4338 0.0452
0.9133 0.4338 0.5452
0.0768 0.6731 0.6694
0.4232 0.6731 0.1694
0.5768 0.3269 0.6694
0.9232 0.3269 0.1694
0.0391 0.1325 0.6207
0.4609 0.1325 0.1207
0.5391 0.8675 0.6207
0.9609 0.8675 0.1207
```

Values from the calculation:
VASP energy: -7.330 eV/atom

The following is a DFT calculation (PBE) of a relaxed structure of MgOsNO.

```
MgOsNO
1.0
2.9303 0.0000 0.0000
0.0000 6.1306 0.0000
0.0000 0.0000 5.1690
Mg Os N O
2 2 2 2
direct
0.0000 0.1443 0.0000
0.0000 0.8557 0.5000
0.5000 0.4124 0.4494
0.5000 0.5876 0.9494
0.5000 0.3007 0.8058
0.5000 0.6993 0.3058
0.0000 0.1586 0.3762
0.0000 0.8414 0.8762
```

Values from the calculation:
VASP energy: -7.095 eV/atom

The following is a DFT calculation (PBE) of a relaxed structure of MgOsNO.

```
MgOsNO
1.0
3.4944 0.0000 0.0000
0.0000 3.4944 0.0000
0.0000 0.0000 7.0772
Mg Os N O
2 2 2 2
direct
0.2500 0.7500 0.0000
0.7500 0.2500 0.0000
0.2500 0.2500 0.3324
0.7500 0.7500 0.6676
0.2500 0.2500 0.8237
0.7500 0.7500 0.1763
0.2500 0.7500 0.5000
0.7500 0.2500 0.5000
```

Values from the calculation:
VASP energy: -5.918 eV/atom

The following is a DFT calculation (PBE) of a relaxed structure of MgOsNO.

```
MgOsNO
1.0
3.7389 0.0000 0.0000
0.0000 3.7389 0.0000
0.0000 0.0000 7.5963
Mg Os N O
2 2 2 2
direct
0.2500 0.2500 0.0829
0.7500 0.7500 0.9171
0.2500 0.7500 0.5000
0.7500 0.2500 0.5000
0.2500 0.2500 0.3745
0.7500 0.7500 0.6255
0.2500 0.7500 0.0000
0.7500 0.2500 0.0000
```

Values from the calculation:
VASP energy: -7.079 eV/atom